! Nd3SmDyY (GGA-PBE, optimized geometry); values from VASP
! Crystal system: orthorhombic
! Fermi-level density of states in states/eV/f.u.: 10.94
! Energy in hartree per atom: -0.1803
! Energy of formation in eV per formula unit: 0.66
&SYSTEM
  ibrav = 0, nat = 12, ntyp = 4
/
ATOMIC_SPECIES
Sm 150.36 Sm.upf
Y 88.91 Y.upf
Nd 144.24 Nd.upf
Dy 162.50 Dy.upf
CELL_PARAMETERS angstrom
5.8902 0.0000 0.0000
-2.9451 5.8299 0.0000
0.0000 0.0000 11.8793
ATOMIC_POSITIONS crystal
Sm 0.4736 0.9471 0.2500
Sm 0.5264 0.0529 0.7500
Y 0.1704 0.3408 0.2500
Y 0.8296 0.6592 0.7500
Nd 0.8691 0.7382 0.2500
Nd 0.3291 0.6583 0.5324
Nd 0.6709 0.3417 0.4676
Nd 0.1309 0.2618 0.7500
Nd 0.3291 0.6583 0.9676
Nd 0.6709 0.3417 0.0324
Dy 0.0000 0.0000 0.0000
Dy 0.0000 0.0000 0.5000